(1)
TaGaIrC2 GGA-PBEsol relaxed; E = -6.628 eV/atom
1.0
3.796 0.000 0.000
0.000 3.796 0.000
0.000 0.000 5.133
C Ga Ta Ir
2 1 1 1
Direct
0.000 0.500 0.000 C
0.500 0.000 0.000 C
0.000 0.000 0.000 Ga
0.000 0.000 0.500 Ta
0.500 0.500 0.500 Ir


(2)
KGa3C GGA-PBEsol relaxed; E = -1.673 eV/atom
1.0
-2.873 2.443 -4.258
-4.154 -3.839 0.599
-2.617 3.413 3.723
K Ga C
1 3 1
Direct
0.000 0.000 0.000 K
0.000 0.000 0.500 Ga
0.000 0.500 0.000 Ga
0.500 0.000 0.000 Ga
0.500 0.500 0.500 C


(3)
K2GaPCO7 GGA-PBEsol relaxed; E = -6.784 eV/atom; formation energy (no corrections) = -1.968 eV/atom
1.0
5.373 0.000 0.105
0.000 6.693 0.000
0.080 0.000 9.675
O K P Ga C
14 4 2 2 2
Direct
0.554 0.250 0.212 O
0.954 0.250 0.169 O
0.785 0.561 0.350 O
0.446 0.750 0.788 O
0.215 0.439 0.650 O
0.215 0.061 0.650 O
0.121 0.250 0.429 O
0.879 0.750 0.571 O
0.560 0.250 0.524 O
0.691 0.250 0.988 O
0.046 0.750 0.831 O
0.440 0.750 0.476 O
0.309 0.750 0.012 O
0.785 0.939 0.350 O
0.749 0.471 0.771 K
0.251 0.971 0.229 K
0.251 0.529 0.229 K
0.749 0.029 0.771 K
0.726 0.750 0.437 P
0.274 0.250 0.563 P
0.217 0.750 0.633 Ga
0.783 0.250 0.367 Ga
0.734 0.250 0.114 C
0.266 0.750 0.886 C


Question: The lowest E belongs to which entry?
Answer: K2GaPCO7


Question: Which formula does entry 1 have?
Answer: TaGaIrC2


Please write out number 1 again, unchanged.
TaGaIrC2 GGA-PBEsol relaxed; E = -6.628 eV/atom
1.0
3.796 0.000 0.000
0.000 3.796 0.000
0.000 0.000 5.133
C Ga Ta Ir
2 1 1 1
Direct
0.000 0.500 0.000 C
0.500 0.000 0.000 C
0.000 0.000 0.000 Ga
0.000 0.000 0.500 Ta
0.500 0.500 0.500 Ir


Question: Number 3 is which compound?
Answer: K2GaPCO7